First-principles (PBE) data for a relaxed Rb2CeBiO6 crystal, as listed in Alexandria via LeMat-Bulk.

Cell: 6.218 6.219 8.793 Å, 90.00 90.00 90.00°
Site moments in Bohr magnetons follow the coordinates.
Sites, in units of the cell vectors:
Rb 0.500 0.750 0.250  0.00
Rb 0.000 0.250 0.750  0.00
Rb 0.500 0.750 0.750  0.00
Rb 0.000 0.250 0.250  0.00
Ce 0.000 0.750 0.500  -0.08
Ce 0.500 0.250 0.000  -0.08
Bi 0.500 0.250 0.500  -0.03
Bi 0.000 0.750 0.000  -0.03
O 0.500 0.250 0.255  0.16
O 0.500 0.250 0.745  0.16
O 0.000 0.750 0.245  0.16
O 0.000 0.750 0.755  0.16
O 0.255 0.005 0.500  0.16
O 0.745 0.005 0.500  0.16
O 0.255 0.495 0.500  0.16
O 0.745 0.495 0.500  0.16
O 0.755 0.505 0.000  0.16
O 0.245 0.505 0.000  0.16
O 0.245 0.995 0.000  0.16
O 0.755 0.995 0.000  0.16

Values from the calculation:
Uncorrected formation energy   -1760 meV/atom
Space-group type   Fm-3m (225)
Total magnetic moment   1.0 μB per formula unit
V   340.0 Å³ per cell

---

First-principles (PBE) data for a relaxed Sr2TcI crystal, as listed in Alexandria via LeMat-Bulk.

Cell: 5.632 5.632 5.632 Å, 60.00 60.00 60.00°
Site moments in Bohr magnetons follow the coordinates.
Sites, in units of the cell vectors:
I 0.500 0.500 0.500  0.03
Sr 0.250 0.250 0.250  -0.05
Sr 0.750 0.750 0.750  -0.05
Tc 0.000 0.000 0.000  1.89

Values from the calculation:
Uncorrected formation energy   318 meV/atom
Space-group type   Fm-3m (225)
Distance to the lowest polymorph of the same formula   0.0 kJ/mol of atoms
Total magnetic moment   2.0 μB per formula unit
V   126.3 Å³ per cell

---

> Number 1 is which compound?

Rb2CeBiO6

---

> Which value of total magnetic moment does entry 2 give?

2.0 μB per formula unit